[1]
Entry from Alexandria: an optimized crystal structure of VHgTe2 (PBE).

a = 7.859 Å, b = 7.859 Å, c = 7.859 Å
α = 32.15°, β = 32.15°, γ = 32.15°
Sites, in units of the cell vectors:
Te 0.157 0.157 0.157
Te 0.636 0.636 0.636
Hg 0.024 0.024 0.024
V 0.434 0.434 0.434

uncorrected formation energy: 0.53 eV per formula unit
space group: R3m
DFT total energy: -15.17 eV for the cell shown
crystal system: trigonal



[2]
Entry from Alexandria: an optimized crystal structure of MnTe2Ru (PBE).

a = 4.880 Å, b = 4.880 Å, c = 4.880 Å
α = 60.00°, β = 60.00°, γ = 60.00°
Sites, in units of the cell vectors:
Mn 0.500 0.500 0.500
Ru 0.750 0.750 0.750
Te 0.000 0.000 0.000
Te 0.250 0.250 0.250

uncorrected formation energy: 2.98 eV per formula unit
ΔE to the lowest computed polymorph: 3.40 eV/f.u.
space group: F-43m
DFT total energy: -21.75 eV for the cell shown
crystal system: cubic



[3]
Entry from Alexandria: an optimized crystal structure of Zn2NiMo (PBE).

a = 4.593 Å, b = 4.593 Å, c = 4.593 Å
α = 130.46°, β = 130.46°, γ = 72.67°
Sites, in units of the cell vectors:
Mo 0.500 0.500 0.000
Ni 0.750 0.250 0.500
Zn 0.000 0.000 0.000
Zn 0.250 0.750 0.500

ΔE to the lowest computed polymorph: 0.76 eV/f.u.
energy relative to the elements: 0.5 eV/f.u.
space group: I-4m2
DFT total energy: -18.62 eV for the cell shown
crystal system: tetragonal



[4]
Entry from Alexandria: an optimized crystal structure of TcIrBr2 (PBE).

a = 8.907 Å, b = 8.907 Å, c = 8.907 Å
α = 20.18°, β = 20.18°, γ = 20.18°
Sites, in units of the cell vectors:
Ir 0.000 0.000 0.000
Tc 0.500 0.500 0.500
Br 0.906 0.906 0.906
Br 0.094 0.094 0.094

uncorrected formation energy: 3.46 eV per formula unit
ΔE to the lowest computed polymorph: 2.80 eV/f.u.
space group: R-3m
DFT total energy: -19.11 eV for the cell shown
crystal system: trigonal



[5]
Entry from Alexandria: an optimized crystal structure of AlSiSb (PBE).

a = 5.975 Å, b = 5.975 Å, c = 5.975 Å
α = 148.54°, β = 144.61°, γ = 48.07°
Sites, in units of the cell vectors:
Sb 0.644 0.644 0.000
Si 0.384 0.384 0.000
Al 0.972 0.972 0.000

uncorrected formation energy: 0.93 eV per formula unit
ΔE to the lowest computed polymorph: 0.23 eV/f.u.
space group: Imm2
DFT total energy: -12.36 eV for the cell shown
crystal system: orthorhombic



[6]
Entry from Alexandria: an optimized crystal structure of CdAgIO2 (PBE).

a = 4.166 Å, b = 4.166 Å, c = 6.284 Å
α = 90.00°, β = 90.00°, γ = 90.00°
Sites, in units of the cell vectors:
I 0.000 0.000 0.500
O 0.000 0.500 0.000
O 0.500 0.000 0.000
Ag 0.000 0.000 0.000
Cd 0.500 0.500 0.500

uncorrected formation energy: 1.60 eV per formula unit
ΔE to the lowest computed polymorph: 0.96 eV/f.u.
space group: P4/mmm
DFT total energy: -13.63 eV for the cell shown
crystal system: tetragonal



Look up the DFT total energy of the fifth one. -12.36 eV for the cell shown